Rb2MnAgBr6 | PBE-GGA | optimized geometry

POSCAR file:
```
Rb2MnAgBr6
1.0
7.634 0.000 0.000
0.000 7.609 0.000
-7.633 0.000 10.775
Rb Mn Ag Br
4 2 2 12
Direct
0.249 0.009 0.250 Rb
0.249 0.491 0.750 Rb
0.751 0.509 0.250 Rb
0.751 0.991 0.750 Rb
0.000 0.000 0.500 Mn
0.000 0.500 0.000 Mn
0.500 0.000 0.000 Ag
0.500 0.500 0.500 Ag
0.212 0.244 0.989 Br
0.212 0.256 0.489 Br
0.243 0.723 0.988 Br
0.243 0.777 0.488 Br
0.262 0.501 0.239 Br
0.262 0.999 0.739 Br
0.738 0.001 0.261 Br
0.738 0.499 0.761 Br
0.757 0.223 0.512 Br
0.757 0.277 0.012 Br
0.788 0.744 0.511 Br
0.788 0.756 0.011 Br
```

space group: P2_1/c (14)
N(E_F): 2.46 states/eV/cell
ΔE_f (raw): -1.05 eV/atom

***

CuSiF5 | PBE-GGA | optimized geometry

POSCAR file:
```
CuSiF5
1.0
5.197 0.000 0.000
-1.255 7.094 0.000
-1.978 -2.909 6.930
Cu Si F
2 2 10
Direct
0.000 0.000 0.000 Cu
0.500 0.000 0.000 Cu
0.192 0.647 0.333 Si
0.808 0.353 0.667 Si
0.012 0.429 0.301 F
0.020 0.807 0.378 F
0.269 0.640 0.147 F
0.312 0.198 0.039 F
0.468 0.718 0.510 F
0.532 0.282 0.490 F
0.688 0.802 0.961 F
0.731 0.360 0.853 F
0.980 0.193 0.622 F
0.988 0.571 0.699 F
```

space group: P-1 (2)
N(E_F): 0.00 states/eV/cell
ΔE_f (raw): -2.48 eV/atom

***

YRhPb2 | PBE-GGA | optimized geometry

POSCAR file:
```
YRhPb2
1.0
3.678 0.000 0.000
-1.839 3.185 0.000
0.000 0.000 27.422
Y Rh Pb
3 3 6
Direct
0.000 0.000 0.000 Y
0.333 0.667 0.667 Y
0.667 0.333 0.333 Y
0.000 0.000 0.731 Rh
0.333 0.667 0.398 Rh
0.667 0.333 0.064 Rh
0.000 0.000 0.234 Pb
0.000 0.000 0.466 Pb
0.333 0.667 0.133 Pb
0.333 0.667 0.901 Pb
0.667 0.333 0.568 Pb
0.667 0.333 0.799 Pb
```

calculated formation energy: -0.177 eV/atom
space group: R3m (160)
N(E_F): 9.68 states/eV/cell

***

CsTeH | PBE-GGA | optimized geometry

POSCAR file:
```
CsTeH
1.0
6.154 0.000 0.000
-3.075 5.398 0.000
-0.005 -0.004 6.495
Cs Te H
2 2 2
Direct
0.000 0.000 0.000 Cs
0.335 0.672 0.500 Cs
0.667 0.335 0.781 Te
0.668 0.336 0.219 Te
0.102 0.075 0.501 H
0.977 0.071 0.500 H
```

relative energy among the computed polymorphs: 0.00 kcal/mol of atoms
space group: P1 (1)

***

Na2ReAg | PBE-GGA | optimized geometry

POSCAR file:
```
Na2ReAg
1.0
8.142 0.000 0.000
0.000 8.142 0.000
0.000 0.000 5.598
Na Re Ag
8 4 4
Direct
0.229 0.750 0.125 Na
0.250 0.229 0.875 Na
0.250 0.271 0.375 Na
0.271 0.750 0.625 Na
0.729 0.250 0.625 Na
0.750 0.729 0.375 Na
0.750 0.771 0.875 Na
0.771 0.250 0.125 Na
0.000 0.000 0.500 Re
0.000 0.500 0.750 Re
0.500 0.000 0.250 Re
0.500 0.500 0.000 Re
0.000 0.000 0.000 Ag
0.000 0.500 0.250 Ag
0.500 0.000 0.750 Ag
0.500 0.500 0.500 Ag
```

relative energy among the computed polymorphs: 0.41 kcal/mol of atoms
calculated formation energy: 1.333 eV/atom
space group: I-42d (122)
N(E_F): 8.70 states/eV/cell

***

PmPrTe2Au | PBE-GGA | optimized geometry

POSCAR file:
```
PmPrTe2Au
1.0
4.408 0.000 0.000
0.000 4.408 0.000
0.000 0.000 15.435
Pm Pr Te Au
2 2 4 2
Direct
0.250 0.250 0.087 Pm
0.750 0.750 0.913 Pm
0.250 0.250 0.645 Pr
0.750 0.750 0.355 Pr
0.250 0.250 0.296 Te
0.250 0.250 0.880 Te
0.750 0.750 0.120 Te
0.750 0.750 0.704 Te
0.250 0.750 0.500 Au
0.750 0.250 0.500 Au
```

space group: P4/nmm (129)
N(E_F): 3.15 states/eV/cell
ΔE_f (raw): -1.22 eV/atom

***

Please write out number 2 again, unchanged.
CuSiF5 | PBE-GGA | optimized geometry

POSCAR file:
```
CuSiF5
1.0
5.197 0.000 0.000
-1.255 7.094 0.000
-1.978 -2.909 6.930
Cu Si F
2 2 10
Direct
0.000 0.000 0.000 Cu
0.500 0.000 0.000 Cu
0.192 0.647 0.333 Si
0.808 0.353 0.667 Si
0.012 0.429 0.301 F
0.020 0.807 0.378 F
0.269 0.640 0.147 F
0.312 0.198 0.039 F
0.468 0.718 0.510 F
0.532 0.282 0.490 F
0.688 0.802 0.961 F
0.731 0.360 0.853 F
0.980 0.193 0.622 F
0.988 0.571 0.699 F
```

space group: P-1 (2)
N(E_F): 0.00 states/eV/cell
ΔE_f (raw): -2.48 eV/atom